MgCd2B2Rh5 | Alexandria | PBE | relaxed; ΔH_f (0 K) = -0.356 eV/atom; final energy = -5.71 eV/atom; spin magnetization = 0.0 μB/cell; ρ = 9.4 g cm⁻³; space group = P4/mbm
1.0
9.717 0.000 0.000
0.000 9.717 0.000
0.000 0.000 2.941
Mg Cd B Rh
2 4 4 10
Cartesian
0.000 0.000 0.000 Mg
4.859 4.859 0.000 Mg
1.738 3.120 0.000 Cd
3.120 7.979 0.000 Cd
6.597 1.738 0.000 Cd
7.979 6.597 0.000 Cd
1.210 6.068 0.000 B
3.649 1.210 0.000 B
6.068 8.507 0.000 B
8.507 3.649 0.000 B
0.000 4.859 1.470 Rh
0.666 7.546 1.470 Rh
2.172 0.666 1.470 Rh
2.687 5.525 1.470 Rh
4.193 2.687 1.470 Rh
4.859 0.000 1.470 Rh
5.525 7.030 1.470 Rh
7.030 4.193 1.470 Rh
7.546 9.051 1.470 Rh
9.051 2.172 1.470 Rh

LiY2Pb | Alexandria | PBE | relaxed; ΔH_f (0 K) = -0.287 eV/atom; final energy = -4.92 eV/atom; spin magnetization = 1.7 μB/cell; ρ = 6.0 g cm⁻³; space group = Amm2
1.0
4.791 0.000 0.000
0.000 3.664 0.000
0.000 0.000 12.339
Li Y Pb
2 4 2
Cartesian
0.000 0.000 0.000 Li
0.000 1.832 6.169 Li
0.000 0.000 9.068 Y
0.000 1.832 2.899 Y
2.396 0.000 4.947 Y
2.396 1.832 11.116 Y
2.396 0.000 1.596 Pb
2.396 1.832 7.765 Pb

GaSiNiOs | Alexandria | PBE | relaxed; formation energy (no corrections) = -0.2102 eV per atom; final energy = -6.58 eV/atom; spin magnetization = 0.0 μB/cell; E above lowest polymorph = 0.057 eV/atom; ρ = 10.8 g cm⁻³; space group = Cm
1.0
8.729 0.000 0.000
0.000 2.977 0.000
-2.442 0.000 4.120
Ga Si Ni Os
2 2 2 2
Cartesian
0.000 0.000 0.000 Ga
4.365 1.489 0.000 Ga
-1.121 1.489 1.977 Si
3.244 0.000 1.977 Si
-0.055 0.000 3.600 Ni
4.310 1.489 3.600 Ni
1.340 1.489 1.667 Os
5.705 0.000 1.667 Os

BiTe2NF | Alexandria | PBE | relaxed; formation energy (no corrections) = 0.7928 eV per atom; final energy = -3.28 eV/atom; spin magnetization = 2.3 μB/cell; E above lowest polymorph = 0.525 eV/atom; ρ = 7.1 g cm⁻³; space group = P4/mmm
1.0
4.888 0.000 0.000
0.000 4.888 0.000
0.000 0.000 4.851
Bi Te N F
1 2 1 1
Cartesian
0.000 0.000 0.000 Bi
0.000 2.444 2.425 Te
2.444 0.000 2.425 Te
2.444 2.444 0.000 N
2.444 2.444 2.425 F

La2ScRu | Alexandria | PBE | relaxed; ΔH_f (0 K) = -0.012 eV/atom; final energy = -6.38 eV/atom; spin magnetization = 0.0 μB/cell; E above lowest polymorph = 0.125 eV/atom; ρ = 6.5 g cm⁻³; space group = P2/m
1.0
4.302 0.000 0.000
0.000 3.954 0.000
-1.465 0.000 6.370
La Sc Ru
2 1 1
Cartesian
0.050 0.000 1.856 La
2.787 0.000 4.514 La
2.151 1.977 0.000 Sc
1.418 1.977 3.185 Ru

HfGaSn | Alexandria | PBE | relaxed; ΔH_f (0 K) = -0.317 eV/atom; final energy = -5.98 eV/atom; spin magnetization = 0.0 μB/cell; E above lowest polymorph = 0.000 eV/atom; ρ = 9.9 g cm⁻³; space group = Cmcm
1.0
4.159 0.000 0.000
0.000 14.630 0.000
0.000 0.000 4.028
Hf Ga Sn
4 4 4
Cartesian
0.000 1.312 1.007 Hf
0.000 13.318 3.021 Hf
2.079 6.003 3.021 Hf
2.079 8.627 1.007 Hf
0.000 6.476 1.007 Ga
0.000 8.154 3.021 Ga
2.079 0.839 3.021 Ga
2.079 13.791 1.007 Ga
0.000 3.639 3.021 Sn
0.000 10.991 1.007 Sn
2.079 3.676 1.007 Sn
2.079 10.954 3.021 Sn

LiBi2As2 | Alexandria | PBE | relaxed; ΔH_f (0 K) = 0.104 eV/atom; final energy = -3.69 eV/atom; spin magnetization = 0.0 μB/cell; E above lowest polymorph = 0.135 eV/atom; ρ = 6.6 g cm⁻³; space group = I4/mmm
1.0
4.484 0.000 0.000
0.000 4.484 0.000
0.000 0.000 14.419
Li Bi As
2 4 4
Cartesian
0.000 0.000 0.000 Li
2.242 2.242 7.209 Li
0.000 2.242 3.605 Bi
0.000 2.242 10.814 Bi
2.242 0.000 3.605 Bi
2.242 0.000 10.814 Bi
0.000 0.000 6.018 As
0.000 0.000 8.401 As
2.242 2.242 1.192 As
2.242 2.242 13.227 As

LiPuGe2Ru | Alexandria | PBE | relaxed; ΔH_f (0 K) = -0.354 eV/atom; final energy = -7.30 eV/atom; spin magnetization = 10.9 μB/cell; ρ = 9.2 g cm⁻³; space group = I-4m2
1.0
4.103 0.000 0.000
0.000 4.103 0.000
0.000 0.000 10.668
Li Pu Ge Ru
2 2 4 2
Cartesian
0.000 0.000 0.000 Li
2.051 2.051 5.334 Li
0.000 2.051 8.001 Pu
2.051 0.000 2.667 Pu
0.000 2.051 1.378 Ge
0.000 2.051 3.956 Ge
2.051 0.000 6.712 Ge
2.051 0.000 9.290 Ge
0.000 0.000 5.334 Ru
2.051 2.051 0.000 Ru

TbDyHgC | Alexandria | PBE | relaxed; ΔH_f (0 K) = -0.371 eV/atom; final energy = -5.06 eV/atom; spin magnetization = 0.0 μB/cell; ρ = 10.0 g cm⁻³; space group = R3m
1.0
3.610 0.000 0.000
-1.805 3.126 0.000
0.000 0.000 23.642
Tb Dy Hg C
3 3 3 3
Cartesian
0.000 0.000 0.000 Tb
0.000 2.084 15.761 Tb
1.805 1.042 7.881 Tb
0.000 0.000 18.482 Dy
0.000 2.084 10.601 Dy
1.805 1.042 2.720 Dy
0.000 0.000 5.266 Hg
0.000 2.084 21.027 Hg
1.805 1.042 13.147 Hg
0.000 0.000 9.228 C
0.000 2.084 1.347 C
1.805 1.042 17.109 C

ZrHgSb2 | Alexandria | PBE | relaxed; formation energy (no corrections) = -0.2422 eV per atom; final energy = -4.52 eV/atom; spin magnetization = 0.0 μB/cell; ρ = 7.9 g cm⁻³; space group = P4/mmm
1.0
3.157 0.000 0.000
0.000 3.157 0.000
0.000 0.000 11.242
Zr Hg Sb
1 1 2
Cartesian
0.000 0.000 0.000 Zr
0.000 0.000 5.621 Hg
1.578 1.578 2.258 Sb
1.578 1.578 8.984 Sb

NdPb2Au | Alexandria | PBE | relaxed; ΔH_f (0 K) = -0.436 eV/atom; final energy = -4.30 eV/atom; spin magnetization = 0.0 μB/cell; E above lowest polymorph = 0.053 eV/atom; ρ = 11.8 g cm⁻³; space group = P4/mmm
1.0
4.782 0.000 0.000
0.000 4.782 0.000
0.000 0.000 4.659
Nd Pb Au
1 2 1
Cartesian
0.000 0.000 0.000 Nd
0.000 2.391 2.330 Pb
2.391 0.000 2.330 Pb
2.391 2.391 0.000 Au

Sr2LiMnH6 | Alexandria | PBE | relaxed; final energy = -3.87 eV/atom; spin magnetization = 0.1 μB/cell; ρ = 3.6 g cm⁻³; space group = P-3m1
1.0
5.230 0.000 0.000
-2.615 4.529 0.000
0.000 0.000 4.701
Sr Li Mn H
2 1 1 6
Cartesian
0.000 3.019 1.056 Sr
2.615 1.510 3.645 Sr
0.000 0.000 2.351 Li
0.000 0.000 0.000 Mn
0.000 1.394 3.701 H
-1.408 3.832 3.701 H
1.207 0.697 1.000 H
1.408 3.832 3.701 H
4.023 0.697 1.000 H
2.615 3.136 1.000 H